Computed, not measured: a geometry-optimized Cs2LaCl6 structure at the PBE level of DFT.

Calculated volume ... 33.4 A^3/atom
Final energy ... -3.86 eV per atom

Unit cell a=4.545 b=15.151 c=8.732 alpha=90.00 beta=90.00 gamma=90.00
Space group Amm2 (No. 38)
Asymmetric unit:
Cs 0.000 0.167 0.000 (multiplicity 4)
La 0.500 0.000 0.501 (multiplicity 2)
Cl 0.000 0.000 0.725 (multiplicity 2)
Cl 0.000 0.112 0.388 (multiplicity 4)
Cl 0.500 0.000 0.166 (multiplicity 2)
Cl 0.500 0.167 0.667 (multiplicity 4)